Record 1
Here is a relaxed structure of PmYRe from OQMD via LeMat-Bulk. Energies are from PBE-GGA.

Summary:
As for the space group: No. 216. The calculation puts the formation energy at 1.180 eV/atom.

Unit cell a=4.8203 b=4.8203 c=4.8203 alpha=60.00 beta=60.00 gamma=60.00
Element x y z (fractional)
1 Re 0.7500 0.7500 0.7500
2 Y 0.0000 0.0000 0.0000
3 Pm 0.2500 0.2500 0.2500



Record 2
Here is a relaxed structure of PmZrRe from OQMD via LeMat-Bulk. Energies are from PBE-GGA.

Summary:
As for the space group: No. 216. The calculation puts the formation energy at 0.843 eV/atom.

Unit cell a=4.6846 b=4.6846 c=4.6846 alpha=60.00 beta=60.00 gamma=60.00
Element x y z (fractional)
1 Zr 0.0000 0.0000 0.0000
2 Re 0.7500 0.7500 0.7500
3 Pm 0.2500 0.2500 0.2500



Record 3
Here is a relaxed structure of PmS from OQMD via LeMat-Bulk. Energies are from PBE-GGA.

Summary:
The calculation puts the distance to the lowest polymorph of the same formula at 0.1660 eV per atom. As for the space group: No. 187.

Unit cell a=3.8481 b=3.8481 c=3.7053 alpha=90.00 beta=90.00 gamma=120.00
Element x y z (fractional)
1 Pm 0.6667 0.3333 0.7500
2 S 0.3333 0.6667 0.2500



Record 4
Here is a relaxed structure of PmS from OQMD via LeMat-Bulk. Energies are from PBE-GGA.

Summary:
The calculation puts the distance to the lowest polymorph of the same formula at 0.0000 eV per atom. As for the space group: No. 225.

Unit cell a=4.0300 b=4.0300 c=4.0300 alpha=60.00 beta=60.00 gamma=60.00
Element x y z (fractional)
1 S 0.5000 0.5000 0.5000
2 Pm 0.0000 0.0000 0.0000



Record 5
Here is a relaxed structure of PmS from OQMD via LeMat-Bulk. Energies are from PBE-GGA.

Summary:
The calculation puts the distance to the lowest polymorph of the same formula at 0.0001 eV per atom. As for the space group: No. 166.

Unit cell a=4.0360 b=4.0360 c=4.0360 alpha=59.78 beta=59.78 gamma=59.78
Element x y z (fractional)
1 Pm 0.0000 0.0000 0.0000
2 S 0.5000 0.5000 0.5000



Record 6
Here is a relaxed structure of Pm5S6 from OQMD via LeMat-Bulk. Energies are from PBE-GGA.

Summary:
As for the space group: No. 12.

Unit cell a=6.9717 b=6.9717 c=6.9419 alpha=99.61 beta=99.61 gamma=119.87
Element x y z (fractional)
1 S 0.0841 0.4193 0.2523
2 Pm 0.5000 0.5000 0.5000
3 Pm 0.3342 0.6658 0.0000
4 S 0.5807 0.9159 0.7477
5 S 0.4193 0.0841 0.2523
6 Pm 0.6658 0.3342 0.0000
7 S 0.2510 0.2510 0.7542
8 S 0.9159 0.5807 0.7477
9 S 0.7490 0.7490 0.2458
10 Pm 0.8377 0.1623 0.5000
11 Pm 0.1623 0.8377 0.5000



Record 7
Here is a relaxed structure of PmS from OQMD via LeMat-Bulk. Energies are from PBE-GGA.

Summary:
The calculation puts the distance to the lowest polymorph of the same formula at 0.4685 eV per atom. As for the space group: No. 216.

Unit cell a=4.4575 b=4.4575 c=4.4575 alpha=60.00 beta=60.00 gamma=60.00
Element x y z (fractional)
1 S 0.2500 0.2500 0.2500
2 Pm 0.0000 0.0000 0.0000



Record 8
Here is a relaxed structure of PmSb3S6 from OQMD via LeMat-Bulk. Energies are from PBE-GGA.

Summary:
As for the space group: No. 11.

Unit cell a=11.5907 b=3.8896 c=11.8851 alpha=90.00 beta=103.00 gamma=90.00
Element x y z (fractional)
1 S 0.6146 0.2500 0.9350
2 S 0.6191 0.2500 0.4523
3 Sb 0.3358 0.2500 0.9217
4 Sb 0.6642 0.7500 0.0783
5 S 0.1212 0.2500 0.9406
6 S 0.0362 0.7500 0.3913
7 Sb 0.0311 0.7500 0.7894
8 S 0.2167 0.7500 0.7180
9 Sb 0.4055 0.7500 0.3452
10 Pm 0.8134 0.7500 0.4698
11 S 0.7423 0.7500 0.6992
12 Sb 0.5945 0.2500 0.6548
13 S 0.2577 0.2500 0.3008
14 S 0.9638 0.2500 0.6087
15 S 0.7833 0.2500 0.2820
16 Sb 0.9689 0.2500 0.2106
17 Pm 0.1866 0.2500 0.5302
18 S 0.8788 0.7500 0.0594
19 S 0.3854 0.7500 0.0650
20 S 0.3809 0.7500 0.5477



Record-wise electronic total energy values, in Ha/atom: -0.2461; -0.2840; -0.2318; -0.2379; -0.2379; -0.2380; -0.2207; -0.1802